SrLi2Os, relaxed, DFT PBE; excess energy over the best structure of this formula in the dataset = 220.1 meV/atom; calculated density = 5.8 Mg/m³; E = -3.468 eV/atom; crystal system = orthorhombic; D(E_F) = 3.2 states/eV/f.u.; formation energy = 2.87 eV per formula unit
1.0
2.990 0.000 0.000
0.000 5.211 0.000
0.000 0.000 5.355
Sr Li Os
1 2 1
Direct
0.000 0.000 0.000
0.000 0.500 0.500
0.500 0.000 0.500
0.500 0.500 0.000

LaZnSb, relaxed, DFT PBE; calculated density = 6.5 Mg/m³; E = -3.976 eV/atom; crystal system = cubic; D(E_F) = 2.5 states/eV/f.u.; raw formation energy = -0.53 eV/atom
1.0
0.000 3.471 3.471
3.471 0.000 3.471
3.471 3.471 0.000
La Zn Sb
1 1 1
Direct
0.000 0.000 0.000
0.250 0.250 0.250
0.500 0.500 0.500